No. 1
An optimized crystal structure of Pr2NpMnS6, computed with PBE.

Output
magnetic moment = 16.001 Bohr magnetons per cell
raw formation energy = -34.832 kcal/mol of atoms
symmetry = No. 14

Cell: 6.5900 7.2596 9.7204 Å, 90.00 92.25 90.00°
Closest atoms and distances in Å follow each position.
Atoms (fractional coordinates):
Pr (0.0387, 0.9037, 0.2442)  6 S 2.87-3.03
Pr (0.5387, 0.5963, 0.7442)  6 S 2.87-3.03
Pr (0.9613, 0.0963, 0.7558)  6 S 2.87-3.03
Pr (0.4613, 0.4037, 0.2558)  6 S 2.87-3.03
Np (0.5000, 0.0000, 0.0000)  6 S 2.66-2.70
Np (0.0000, 0.5000, 0.5000)  6 S 2.66-2.70
Mn (0.5000, 0.0000, 0.5000)  6 S 2.51-2.57
Mn (0.0000, 0.5000, 0.0000)  6 S 2.51-2.57
S (0.3130, 0.6827, 0.0638)  1 Mn 2.51, 1 Np 2.70
S (0.8130, 0.8173, 0.5638)  1 Mn 2.51, 1 Np 2.70
S (0.6870, 0.3173, 0.9362)  1 Mn 2.51, 1 Np 2.70
S (0.1870, 0.1827, 0.4362)  1 Mn 2.51, 1 Np 2.70
S (0.3268, 0.6931, 0.4372)  1 Mn 2.57, 1 Np 2.66
S (0.8268, 0.8069, 0.9372)  1 Mn 2.57, 1 Np 2.66
S (0.6732, 0.3069, 0.5628)  1 Mn 2.57, 1 Np 2.66
S (0.1732, 0.1931, 0.0628)  1 Mn 2.57, 1 Np 2.66
S (0.8686, 0.5400, 0.2393)  1 Mn 2.53, 1 Np 2.66
S (0.3686, 0.9600, 0.7393)  1 Mn 2.53, 1 Np 2.66
S (0.1314, 0.4600, 0.7607)  1 Mn 2.53, 1 Np 2.66
S (0.6314, 0.0400, 0.2607)  1 Mn 2.53, 1 Np 2.66

No. 2
An optimized crystal structure of NpMnPt2, computed with PBE.

Output
magnetic moment = 8.089 Bohr magnetons per cell
symmetry = No. 225
energy relative to the elements = -1.20 eV/f.u.

Cell: 4.7342 4.7342 4.7342 Å, 60.00 60.00 60.00°
Closest atoms and distances in Å follow each position.
Atoms (fractional coordinates):
Np (0.5000, 0.5000, 0.5000)  8 Pt 2.90
Mn (0.0000, 0.0000, 0.0000)  8 Pt 2.90
Pt (0.2500, 0.2500, 0.2500)  4 Mn 2.90, 4 Np 2.90
Pt (0.7500, 0.7500, 0.7500)  4 Np 2.90, 4 Mn 2.90

No. 3
An optimized crystal structure of NpMn3Pt12, computed with PBE.

Output
magnetic moment = 15.549 Bohr magnetons per cell
symmetry = No. 123
energy relative to the elements = -6.57 eV/f.u.

Cell: 3.9930 3.9931 15.9308 Å, 90.00 90.00 90.00°
Closest atoms and distances in Å follow each position.
Atoms (fractional coordinates):
Np (0.0000, 0.0000, 0.0000)  12 Pt 2.82-2.93
Mn (0.0000, 0.0000, 0.2591)  12 Pt 2.76-2.82
Mn (0.0000, 0.0000, 0.5000)  12 Pt 2.77-2.82
Mn (0.0000, 0.0000, 0.7409)  12 Pt 2.76-2.82
Pt (0.5000, 0.5000, 0.0000)  4 Np 2.82, 8 Pt 2.93
Pt (0.5000, 0.5000, 0.2575)  8 Pt 2.78-2.80, 4 Mn 2.82
Pt (0.5000, 0.5000, 0.5000)  8 Pt 2.77, 4 Mn 2.82
Pt (0.5000, 0.5000, 0.7425)  8 Pt 2.78-2.80, 4 Mn 2.82
Pt (0.5000, 0.0000, 0.1343)  8 Pt 2.80-2.93, 2 Mn 2.82, 2 Np 2.93
Pt (0.5000, 0.0000, 0.3791)  4 Mn 2.76-2.77, 8 Pt 2.77-2.82
Pt (0.5000, 0.0000, 0.6209)  4 Mn 2.76-2.77, 8 Pt 2.77-2.82
Pt (0.5000, 0.0000, 0.8657)  8 Pt 2.80-2.93, 2 Mn 2.82, 2 Np 2.93
Pt (0.0000, 0.5000, 0.1343)  8 Pt 2.80-2.93, 2 Mn 2.82, 2 Np 2.93
Pt (0.0000, 0.5000, 0.3791)  4 Mn 2.76-2.77, 8 Pt 2.77-2.82
Pt (0.0000, 0.5000, 0.6209)  4 Mn 2.76-2.77, 8 Pt 2.77-2.82
Pt (0.0000, 0.5000, 0.8657)  8 Pt 2.80-2.93, 2 Mn 2.82, 2 Np 2.93

No. 4
An optimized crystal structure of NpMnPt2, computed with PBE.

Output
magnetic moment = 0.305 Bohr magnetons per cell
symmetry = No. 123
energy relative to the elements = -1.75 eV/f.u.

Cell: 4.1851 4.0386 4.0386 Å, 90.00 90.00 90.00°
Closest atoms and distances in Å follow each position.
Atoms (fractional coordinates):
Np (0.5000, 0.5000, 0.5000)  4 Mn 2.86, 8 Pt 2.91
Mn (0.5000, 0.0000, 0.0000)  4 Np 2.86, 8 Pt 2.91
Pt (0.0000, 0.0000, 0.5000)  4 Pt 2.86, 4 Mn 2.91, 4 Np 2.91
Pt (0.0000, 0.5000, 0.0000)  4 Pt 2.86, 4 Np 2.91, 4 Mn 2.91